# 1
Be3ZnO4 | the Alexandria database | PBEsol | optimized geometry; magnetic moment = 0.0 μB/cell; total energy = -6.6970 eV/atom; formation energy without anion corrections = -1833 kJ/mol of formula units
1.0
-2.011 2.011 3.932
2.011 -2.011 3.932
2.011 2.011 -3.932
Be Zn O
3 1 4
direct
0.000 0.000 0.000
0.250 0.750 0.500
0.750 0.250 0.500
0.500 0.500 0.000
0.083 0.083 0.441
0.358 0.917 0.000
0.642 0.642 0.559
0.917 0.358 0.000

# 2
BeZn3O4 | the Alexandria database | PBEsol | optimized geometry; magnetic moment = 0.0 μB/cell; total energy = -5.4575 eV/atom; formation energy without anion corrections = -1343 kJ/mol of formula units
1.0
-2.189 2.189 4.318
2.189 -2.189 4.318
2.189 2.189 -4.318
Be Zn O
1 3 4
direct
0.000 0.000 0.000
0.250 0.750 0.500
0.500 0.500 0.000
0.750 0.250 0.500
0.108 0.108 0.439
0.331 0.892 0.000
0.669 0.669 0.561
0.892 0.331 0.000

# 3
ZrBe3O | the Alexandria database | PBEsol | optimized geometry; magnetic moment = 0.4 μB/cell; total energy = -2.9047 eV/atom; formation energy without anion corrections = 1140 kJ/mol of formula units
1.0
4.799 0.000 0.000
0.000 4.799 0.000
0.000 0.000 4.799
Zr Be O
1 3 1
direct
0.000 0.000 0.000
0.000 0.000 0.500
0.000 0.500 0.000
0.500 0.000 0.000
0.500 0.500 0.500

# 4
Zr3BeO | the Alexandria database | PBEsol | optimized geometry; magnetic moment = 0.0 μB/cell; total energy = -8.2929 eV/atom; formation energy without anion corrections = -477 kJ/mol of formula units
1.0
4.340 0.000 0.000
0.000 4.340 0.000
0.000 0.000 4.340
Zr Be O
3 1 1
direct
0.000 0.000 0.500
0.000 0.500 0.000
0.500 0.000 0.000
0.500 0.500 0.500
0.000 0.000 0.000

# 5
Be2Os | the Alexandria database | PBEsol | optimized geometry; ΔE_f = -265 meV per atom; magnetic moment = 0.0 μB/cell; total energy = -7.0036 eV/atom; distance to the lowest polymorph of the same formula = 0.0 meV/atom
1.0
0.000 3.056 3.056
3.056 0.000 3.056
3.056 3.056 0.000
Be Os
4 2
direct
0.000 0.000 0.000
0.000 0.000 0.500
0.000 0.500 0.000
0.500 0.000 0.000
0.375 0.375 0.375
0.625 0.625 0.625

# 6
Be2Os | the Alexandria database | PBEsol | optimized geometry; ΔE_f = -264 meV per atom; magnetic moment = 0.0 μB/cell; total energy = -7.0031 eV/atom; distance to the lowest polymorph of the same formula = 0.5 meV/atom
1.0
4.332 0.000 0.000
-2.166 3.752 0.000
0.000 0.000 14.058
Be Os
16 8
direct
0.000 0.500 0.000
0.000 0.500 0.500
0.164 0.328 0.250
0.164 0.836 0.250
0.328 0.164 0.750
0.333 0.667 0.125
0.333 0.667 0.375
0.500 0.000 0.000
0.500 0.000 0.500
0.500 0.500 0.000
0.500 0.500 0.500
0.667 0.333 0.625
0.667 0.333 0.875
0.672 0.836 0.250
0.836 0.164 0.750
0.836 0.672 0.750
0.000 0.000 0.095
0.000 0.000 0.405
0.000 0.000 0.595
0.000 0.000 0.905
0.333 0.667 0.657
0.333 0.667 0.843
0.667 0.333 0.157
0.667 0.333 0.343

# 7
Be2Os | the Alexandria database | PBEsol | optimized geometry; ΔE_f = -197 meV per atom; magnetic moment = 0.0 μB/cell; total energy = -6.9356 eV/atom; distance to the lowest polymorph of the same formula = 68.0 meV/atom
1.0
1.610 -6.089 0.000
1.610 6.089 0.000
0.000 0.000 3.054
Be Os
4 2
direct
0.063 0.937 0.750
0.245 0.755 0.250
0.755 0.245 0.750
0.937 0.063 0.250
0.402 0.598 0.750
0.598 0.402 0.250

# 8
BeOs3 | the Alexandria database | PBEsol | optimized geometry; ΔE_f = 230 meV per atom; magnetic moment = 0.0 μB/cell; total energy = -9.9323 eV/atom; distance to the lowest polymorph of the same formula = 0.0 meV/atom
1.0
4.368 -1.347 0.000
4.368 1.347 0.000
-0.649 0.000 4.464
Be Os
1 3
direct
0.000 0.000 0.000
0.244 0.244 0.757
0.500 0.500 0.500
0.756 0.756 0.243